[1]
The following is a DFT calculation (GGA-PBEsol) of an optimized crystal structure of Pb2Au.

abc: 7.3030 7.3030 5.6536
angles: 90.00 90.00 90.00
With the nearest neighbours (Å) after each atom.
Space group I4/mcm (No. 140)
Unique sites:
Pb 0.1592 0.3408 0.0000 (multiplicity 8)  4 Au 3.09, 3 Pb 3.29-3.39
Au 0.0000 0.0000 0.2500 (multiplicity 4)  2 Au 2.83, 8 Pb 3.09

Summary:
energy of formation	-0.0761	eV per atom
N(E_F)	0.342	states/eV/atom


[2]
The following is a DFT calculation (GGA-PBEsol) of an optimized crystal structure of ReTc2W.

abc: 3.1192 4.3524 8.6500
angles: 90.00 90.00 90.00
With the nearest neighbours (Å) after each atom.
Space group Cmm2 (No. 35)
Unique sites:
Re 0.0000 0.0000 0.0000 (multiplicity 2)  2 Tc 2.66, 4 Re 2.68, 2 W 2.71
Tc 0.0000 0.0000 0.4931 (multiplicity 2)  6 Tc 2.63-2.68, 2 W 2.68
Tc 0.0000 0.5000 0.2486 (multiplicity 2)  6 Tc 2.63-2.68, 2 Re 2.66
W 0.0000 0.5000 0.7444 (multiplicity 2)  2 Tc 2.68, 4 W 2.68, 2 Re 2.71

Summary:
energy of formation	0.2071	eV per atom
N(E_F)	1.137	states/eV/atom


[3]
The following is a DFT calculation (GGA-PBEsol) of an optimized crystal structure of Cs2MgCoS.

abc: 6.7282 6.7282 4.8363
angles: 90.00 90.00 90.00
With the nearest neighbours (Å) after each atom.
Space group P4/mmm (No. 123)
Unique sites:
Cs 0.0000 0.5000 0.0000 (multiplicity 2)  2 S 3.36
Mg 0.0000 0.0000 0.5000 (multiplicity 1)  2 S 2.42
Co 0.5000 0.5000 0.5000 (multiplicity 1)  8 Cs 4.14
S 0.0000 0.0000 0.0000 (multiplicity 1)  2 Mg 2.42

Summary:
N(E_F)	0.201	states/eV/atom
DFT total energy	-2.81	eV per atom


[4]
The following is a DFT calculation (GGA-PBEsol) of an optimized crystal structure of AlAg6.

abc: 7.5321 7.5321 6.9810
angles: 90.00 90.00 120.00
With the nearest neighbours (Å) after each atom.
Space group R-3 (No. 148, hexagonal axes)
Unique sites:
Al 0.0000 0.0000 0.0000 (multiplicity 3)  12 Ag 2.83-2.84
Ag 0.0512 0.2387 0.6694 (multiplicity 18)  10 Ag 2.80-2.90, 2 Al 2.83-2.84

Summary:
energy of formation	-0.0562	eV per atom
N(E_F)	0.263	states/eV/atom


[5]
The following is a DFT calculation (GGA-PBEsol) of an optimized crystal structure of WAuO2.

abc: 2.8013 2.8013 24.4626
angles: 90.00 90.00 120.00
With the nearest neighbours (Å) after each atom.
Space group R-3m (No. 166, hexagonal axes)
Unique sites:
W 0.0000 0.0000 0.0000 (multiplicity 3)  6 O 2.05
Au 0.0000 0.0000 0.5000 (multiplicity 3)  6 Au 2.80, 2 O 2.81
O 0.0000 0.0000 0.3850 (multiplicity 6)  3 W 2.05

Summary:
N(E_F)	0.285	states/eV/atom
DFT total energy	-8.10	eV per atom


[6]
The following is a DFT calculation (GGA-PBEsol) of an optimized crystal structure of TlFe2Ir.

abc: 2.8043 2.8043 7.5098
angles: 90.00 90.00 90.00
With the nearest neighbours (Å) after each atom.
Space group P4/mmm (No. 123)
Unique sites:
Tl 0.0000 0.0000 0.0000 (multiplicity 1)  4 Tl 2.80, 8 Fe 2.88
Fe 0.5000 0.5000 0.2786 (multiplicity 2)  4 Ir 2.59, 4 Fe 2.80, 4 Tl 2.88
Ir 0.0000 0.0000 0.5000 (multiplicity 1)  8 Fe 2.59, 4 Ir 2.80

Summary:
energy of formation	0.3915	eV per atom
N(E_F)	1.014	states/eV/atom


no.,ρ (Mg/m³)
1,13.47
2,16.01
3,2.89
4,9.79
5,12.37
6,14.29